Below is a relaxed CaMn2O5 crystal, with properties calculated at the GGA+U level.

```
CaMn2O5
1.0
4.1284 0.0150 -4.0085
-4.3219 3.2033 2.0426
7.1824 4.9619 7.4158
O Mn Ca
10 4 2
direct
0.0671 0.9329 0.3830 O
0.7050 0.2950 0.7500 O
0.9329 0.0671 0.8830 O
0.0671 0.9329 0.1170 O
0.7665 0.2335 0.0758 O
0.7665 0.2335 0.4242 O
0.2335 0.7665 0.9242 O
0.2950 0.7050 0.2500 O
0.2335 0.7665 0.5758 O
0.9329 0.0671 0.6170 O
0.2229 0.7771 0.0975 Mn
0.7771 0.2229 0.5975 Mn
0.2229 0.7771 0.4025 Mn
0.7771 0.2229 0.9025 Mn
0.0794 0.9206 0.7500 Ca
0.9206 0.0794 0.2500 Ca
```

Summary:
Calculated total energy (eV/atom): -6.768